Version i
Below is a relaxed HfAlSbTe2 crystal, with properties calculated at the PBE level.

- Theoretical density: 6.83 Mg/m³
- Space-group type: No. 123
- N(E_F): 3.52 states/eV per cell

a b c (Å): 5.257 5.257 5.127
angles (deg): 90.00 90.00 90.00
Fractional coordinates of all 5 atoms:
Sb 0.000 0.000 0.500
Te 0.000 0.500 0.000
Te 0.500 0.000 0.000
Hf 0.500 0.500 0.500
Al 0.000 0.000 0.000

Version ii
Below is a relaxed HfAlSbTe2 crystal, with properties calculated at the PBE level.

- Theoretical density: 5.61 Mg/m³
- Space-group type: No. 123
- N(E_F): 3.93 states/eV per cell

a b c (Å): 5.562 5.562 5.577
angles (deg): 90.00 90.00 90.00
Fractional coordinates of all 5 atoms:
Sb 0.000 0.000 0.500
Te 0.000 0.500 0.000
Te 0.500 0.000 0.000
Hf 0.000 0.000 0.000
Al 0.500 0.500 0.500

Which of them is the most stable? Correct choice: version ii.

Version i
Below is a relaxed HfSc3Al crystal, with properties calculated at the PBE level.

- Theoretical density: 4.15 Mg/m³
- Space-group type: No. 221
- N(E_F): 5.77 states/eV per cell

a b c (Å): 5.146 5.146 5.146
angles (deg): 90.00 90.00 90.00
Fractional coordinates of all 5 atoms:
Sc 0.000 0.500 0.000
Sc 0.000 0.000 0.500
Sc 0.500 0.000 0.000
Hf 0.000 0.000 0.000
Al 0.500 0.500 0.500

Version ii
Below is a relaxed HfSc3Al crystal, with properties calculated at the PBE level.

- Theoretical density: 4.73 Mg/m³
- Space-group type: No. 63
- N(E_F): 12.01 states/eV per cell

a b c (Å): 4.549 5.967 9.522
angles (deg): 90.00 90.00 112.39
Fractional coordinates of all 10 atoms:
Hf 0.159 0.318 0.250
Hf 0.841 0.682 0.750
Sc 0.647 0.294 0.000
Sc 0.353 0.706 0.000
Sc 0.647 0.294 0.500
Sc 0.353 0.706 0.500
Sc 0.847 0.693 0.250
Sc 0.153 0.307 0.750
Al 0.503 0.006 0.250
Al 0.497 0.994 0.750

Version iii
Below is a relaxed HfSc3Al crystal, with properties calculated at the PBE level.

- Theoretical density: 4.84 Mg/m³
- Space-group type: No. 63
- N(E_F): 9.89 states/eV per cell

a b c (Å): 5.301 6.047 7.890
angles (deg): 112.53 90.00 90.00
Fractional coordinates of all 10 atoms:
Hf 0.750 0.454 0.909
Hf 0.250 0.546 0.091
Sc 0.750 0.903 0.323
Sc 0.750 0.420 0.323
Sc 0.250 0.580 0.677
Sc 0.250 0.097 0.677
Sc 0.000 0.000 0.000
Sc 0.500 0.000 0.000
Al 0.750 0.831 0.662
Al 0.250 0.169 0.338

Version iv
Below is a relaxed HfSc3Al crystal, with properties calculated at the PBE level.

- Theoretical density: 4.32 Mg/m³
- Space-group type: No. 221
- N(E_F): 9.86 states/eV per cell

a b c (Å): 5.078 5.078 5.078
angles (deg): 90.00 90.00 90.00
Fractional coordinates of all 5 atoms:
Sc 0.000 0.500 0.000
Sc 0.000 0.000 0.500
Sc 0.500 0.000 0.000
Hf 0.500 0.500 0.500
Al 0.000 0.000 0.000

Which of them is the most stable? Correct choice: version ii.

Version i
Below is a relaxed Hf2ScAl2 crystal, with properties calculated at the PBE level.

- Theoretical density: 7.31 Mg/m³
- Space-group type: No. 127
- N(E_F): 10.04 states/eV per cell

a b c (Å): 8.315 8.315 2.994
angles (deg): 90.00 90.00 90.00
Each line ends with the local moment (μB).
Fractional coordinates of all 10 atoms:
Sc 0.000 0.000 0.000  0.43
Sc 0.500 0.500 0.000  0.43
Hf 0.375 0.875 0.000  0.12
Hf 0.875 0.625 0.000  0.11
Hf 0.625 0.125 0.000  0.12
Hf 0.125 0.375 0.000  0.11
Al 0.172 0.672 0.500  0.00
Al 0.672 0.828 0.500  0.00
Al 0.828 0.328 0.500  0.00
Al 0.328 0.172 0.500  0.00

Version ii
Below is a relaxed Hf2ScAl2 crystal, with properties calculated at the PBE level.

- Theoretical density: 7.48 Mg/m³
- Space-group type: No. 127
- N(E_F): 10.77 states/eV per cell

a b c (Å): 7.725 7.725 3.393
angles (deg): 90.00 90.00 90.00
Fractional coordinates of all 10 atoms:
Sc 0.000 0.000 0.000
Sc 0.500 0.500 0.000
Hf 0.176 0.676 0.500
Hf 0.676 0.824 0.500
Hf 0.824 0.324 0.500
Hf 0.324 0.176 0.500
Al 0.379 0.879 0.000
Al 0.879 0.621 0.000
Al 0.621 0.121 0.000
Al 0.121 0.379 0.000

Which of them is the most stable? Correct choice: version ii.

Version i
Below is a relaxed Hf3ScAl8 crystal, with properties calculated at the PBE level.

- Theoretical density: 6.30 Mg/m³
- Space-group type: No. 160
- N(E_F): 2.69 states/eV per cell

a b c (Å): 5.297 5.297 9.170
angles (deg): 73.21 73.21 60.00
Fractional coordinates of all 12 atoms:
Hf 0.375 0.375 0.874
Hf 0.001 0.001 0.998
Hf 0.499 0.499 0.503
Sc 0.875 0.875 0.374
Al 0.938 0.438 0.186
Al 0.437 0.937 0.689
Al 0.438 0.438 0.186
Al 0.937 0.937 0.689
Al 0.187 0.187 0.438
Al 0.687 0.687 0.938
Al 0.438 0.938 0.186
Al 0.937 0.437 0.689

Version ii
Below is a relaxed Hf3ScAl8 crystal, with properties calculated at the PBE level.

- Theoretical density: 6.30 Mg/m³
- Space-group type: No. 156
- N(E_F): 5.34 states/eV per cell

a b c (Å): 5.279 5.279 8.698
angles (deg): 90.00 90.00 120.00
Fractional coordinates of all 12 atoms:
Hf 0.667 0.333 0.432
Hf 0.667 0.333 0.065
Hf 0.000 0.000 0.936
Sc 0.000 0.000 0.566
Al 0.333 0.667 0.500
Al 0.333 0.667 0.000
Al 0.505 0.009 0.752
Al 0.505 0.495 0.752
Al 0.991 0.495 0.752
Al 0.162 0.325 0.249
Al 0.162 0.838 0.249
Al 0.675 0.838 0.249

Which of them is the most stable? Correct choice: version i.

Version i
Below is a relaxed Hf2AlSe crystal, with properties calculated at the PBE level.

- Theoretical density: 9.92 Mg/m³
- Space-group type: No. 225
- N(E_F): 6.02 states/eV per cell

a b c (Å): 4.785 4.785 4.785
angles (deg): 60.00 60.00 60.00
Fractional coordinates of all 4 atoms:
Hf 0.250 0.250 0.250
Hf 0.750 0.750 0.750
Al 0.000 0.000 0.000
Se 0.500 0.500 0.500

Version ii
Below is a relaxed Hf2AlSe crystal, with properties calculated at the PBE level.

- Theoretical density: 6.86 Mg/m³
- Space-group type: No. 122
- N(E_F): 5.77 states/eV per cell

a b c (Å): 5.764 5.764 7.878
angles (deg): 68.54 68.54 90.00
Fractional coordinates of all 8 atoms:
Hf 0.631 0.125 0.250
Hf 0.119 0.625 0.250
Hf 0.375 0.369 0.750
Hf 0.875 0.881 0.750
Al 0.500 0.500 0.000
Al 0.250 0.750 0.500
Se 0.000 0.000 0.000
Se 0.750 0.250 0.500

Which of them is the most stable? Correct choice: version i.

Version i
Below is a relaxed Hf2AlSi crystal, with properties calculated at the PBE level.

- Theoretical density: 9.35 Mg/m³
- Space-group type: No. 225
- N(E_F): 3.84 states/eV per cell

a b c (Å): 4.696 4.696 4.696
angles (deg): 60.00 60.00 60.00
Fractional coordinates of all 4 atoms:
Si 0.500 0.500 0.500
Hf 0.250 0.250 0.250
Hf 0.750 0.750 0.750
Al 0.000 0.000 0.000

Version ii
Below is a relaxed Hf2AlSi crystal, with properties calculated at the PBE level.

- Theoretical density: 8.52 Mg/m³
- Space-group type: No. 166
- N(E_F): 2.08 states/eV per cell

a b c (Å): 3.624 3.624 7.365
angles (deg): 75.76 75.76 60.00
Fractional coordinates of all 4 atoms:
Si 0.000 0.000 0.000
Hf 0.258 0.258 0.225
Hf 0.742 0.742 0.775
Al 0.500 0.500 0.500

Which of them is the most stable? Correct choice: version ii.

Version i
Below is a relaxed Hf3AlSn crystal, with properties calculated at the PBE level.

- Theoretical density: 9.38 Mg/m³
- Space-group type: No. 221
- N(E_F): 4.16 states/eV per cell

a b c (Å): 4.940 4.940 4.940
angles (deg): 90.00 90.00 90.00
Fractional coordinates of all 5 atoms:
Hf 0.000 0.500 0.000
Hf 0.000 0.000 0.500
Hf 0.500 0.000 0.000
Sn 0.500 0.500 0.500
Al 0.000 0.000 0.000

Version ii
Below is a relaxed Hf3AlSn crystal, with properties calculated at the PBE level.

- Theoretical density: 10.17 Mg/m³
- Space-group type: No. 194
- N(E_F): 7.56 states/eV per cell

a b c (Å): 5.390 6.903 6.903
angles (deg): 119.99 90.00 90.00
Fractional coordinates of all 10 atoms:
Hf 0.250 0.809 0.191
Hf 0.750 0.191 0.809
Hf 0.250 0.809 0.619
Hf 0.750 0.191 0.381
Hf 0.250 0.381 0.191
Hf 0.750 0.619 0.809
Al 0.000 0.000 0.000
Al 0.500 0.000 0.000
Sn 0.250 0.333 0.667
Sn 0.750 0.667 0.333

Which of them is the most stable? Correct choice: version ii.

Version i
Below is a relaxed SrHfAl3 crystal, with properties calculated at the PBE level.

- Theoretical density: 3.94 Mg/m³
- Space-group type: No. 221
- N(E_F): 4.30 states/eV per cell

a b c (Å): 5.269 5.269 5.269
angles (deg): 90.00 90.00 90.00
Each line ends with the local moment (μB).
Fractional coordinates of all 5 atoms:
Sr 0.500 0.500 0.500  0.00
Hf 0.000 0.000 0.000  0.41
Al 0.000 0.500 0.000  0.04
Al 0.000 0.000 0.500  0.02
Al 0.500 0.000 0.000  0.03

Version ii
Below is a relaxed SrHfAl3 crystal, with properties calculated at the PBE level.

- Theoretical density: 4.02 Mg/m³
- Space-group type: No. 221
- N(E_F): 4.54 states/eV per cell

a b c (Å): 5.236 5.236 5.236
angles (deg): 90.00 90.00 90.00
Fractional coordinates of all 5 atoms:
Sr 0.000 0.000 0.000
Hf 0.500 0.500 0.500
Al 0.000 0.500 0.000
Al 0.000 0.000 0.500
Al 0.500 0.000 0.000

Which of them is the most stable? Correct choice: version i.

Version i
Below is a relaxed HfTa3Al crystal, with properties calculated at the PBE level.

- Theoretical density: 10.63 Mg/m³
- Space-group type: No. 221
- N(E_F): 5.16 states/eV per cell

a b c (Å): 4.889 4.889 4.889
angles (deg): 90.00 90.00 90.00
Fractional coordinates of all 5 atoms:
Hf 0.000 0.000 0.000
Al 0.500 0.500 0.500
Ta 0.000 0.500 0.000
Ta 0.000 0.000 0.500
Ta 0.500 0.000 0.000

Version ii
Below is a relaxed HfTa3Al crystal, with properties calculated at the PBE level.

- Theoretical density: 11.72 Mg/m³
- Space-group type: No. 221
- N(E_F): 3.50 states/eV per cell

a b c (Å): 4.734 4.734 4.734
angles (deg): 90.00 90.00 90.00
Fractional coordinates of all 5 atoms:
Hf 0.500 0.500 0.500
Al 0.000 0.000 0.000
Ta 0.000 0.500 0.000
Ta 0.000 0.000 0.500
Ta 0.500 0.000 0.000

Which of them is the most stable? Correct choice: version ii.

Version i
Below is a relaxed HfTaAl crystal, with properties calculated at the PBE level.

- Theoretical density: 11.47 Mg/m³
- Space-group type: No. 187
- N(E_F): 3.40 states/eV per cell

a b c (Å): 2.872 4.743 4.743
angles (deg): 120.00 90.00 90.00
Fractional coordinates of all 3 atoms:
Hf 0.167 0.667 0.333
Al 0.667 0.333 0.667
Ta 0.166 0.000 0.000

Version ii
Below is a relaxed HfTaAl crystal, with properties calculated at the PBE level.

- Theoretical density: 10.64 Mg/m³
- Space-group type: No. 166
- N(E_F): 4.96 states/eV per cell

a b c (Å): 4.574 4.574 7.162
angles (deg): 71.38 71.38 60.00
Fractional coordinates of all 6 atoms:
Hf 0.212 0.212 0.363
Hf 0.788 0.788 0.637
Ta 0.643 0.643 0.070
Ta 0.357 0.357 0.930
Al 0.934 0.934 0.197
Al 0.066 0.066 0.803

Which of them is the most stable? Correct choice: version ii.

Version i
Below is a relaxed HfTaAl crystal, with properties calculated at the PBE level.

- Theoretical density: 11.40 Mg/m³
- Space-group type: No. 107
- N(E_F): 2.68 states/eV per cell

a b c (Å): 3.472 3.472 5.275
angles (deg): 109.21 109.21 90.00
Fractional coordinates of all 3 atoms:
Hf 0.617 0.617 0.233
Al 0.942 0.942 0.885
Ta 0.291 0.291 0.582

Version ii
Below is a relaxed HfTaAl crystal, with properties calculated at the PBE level.

- Theoretical density: 11.13 Mg/m³
- Space-group type: No. 129
- N(E_F): 5.06 states/eV per cell

a b c (Å): 3.909 3.909 7.548
angles (deg): 90.00 90.00 90.00
Fractional coordinates of all 6 atoms:
Hf 0.000 0.500 0.854
Hf 0.500 0.000 0.146
Ta 0.500 0.500 0.500
Ta 0.000 0.000 0.500
Al 0.000 0.500 0.233
Al 0.500 0.000 0.767

Which of them is the most stable? Correct choice: version ii.

Version i
Below is a relaxed HfTaAl2 crystal, with properties calculated at the PBE level.

- Theoretical density: 9.72 Mg/m³
- Space-group type: No. 225
- N(E_F): 2.71 states/eV per cell

a b c (Å): 4.640 4.640 4.640
angles (deg): 60.00 60.00 60.00
Fractional coordinates of all 4 atoms:
Hf 0.000 0.000 0.000
Al 0.250 0.250 0.250
Al 0.750 0.750 0.750
Ta 0.500 0.500 0.500

Version ii
Below is a relaxed HfTaAl2 crystal, with properties calculated at the PBE level.

- Theoretical density: 9.32 Mg/m³
- Space-group type: No. 166
- N(E_F): 3.07 states/eV per cell

a b c (Å): 2.976 2.976 9.755
angles (deg): 81.23 81.23 60.00
Fractional coordinates of all 4 atoms:
Hf 0.500 0.500 0.500
Al 0.253 0.253 0.240
Al 0.747 0.747 0.760
Ta 0.000 0.000 0.000

Which of them is the most stable? Correct choice: version ii.